A relaxed HfVNO2 crystal, computed with PBE with a Hubbard U.

Output
crystal system	tetragonal
final energy	-8.329	eV/atom
theoretical density	8.339	Mg/m³
calculated volume	55	Å³/cell

a = 3.7454 Å, b = 3.7454 Å, c = 3.9099 Å
α = 90.00°, β = 90.00°, γ = 90.00°
Closest atoms and distances in Å follow each position.
Space group P4/mmm (No. 123)
Asymmetric unit:
Hf (0.0000, 0.0000, 0.0000) (multiplicity 1)  4 N 2.65, 8 O 2.71
V (0.5000, 0.5000, 0.5000) (multiplicity 1)  4 O 1.87, 2 N 1.95
N (0.5000, 0.5000, 0.0000) (multiplicity 1)  2 V 1.95
O (0.0000, 0.5000, 0.5000) (multiplicity 2)  2 V 1.87